No. 1
Compound: K2LaTlCl6
Source: Alexandria via LeMat-Bulk
Functional: PBE
Structure: relaxed

It has space group P2_1/c (No. 14), with a = 7.662 Å, b = 8.175 Å, c = 13.307 Å, α = 90.00°, β = 123.55° and γ = 90.00°. The asymmetric unit holds K at (0.212, 0.075, 0.242), La at (0.500, 0.000, 0.000), Tl at (0.000, 0.000, 0.500), Cl at (0.143, 0.178, 0.937), Cl at (0.248, 0.719, 0.916) and Cl at (0.412, 0.069, 0.770).

As for the size of the total moment: 0.00 μB/f.u. The value obtained for the uncorrected formation energy is -1.964 eV/atom.



No. 2
Compound: RbTiInAu2
Source: Alexandria via LeMat-Bulk
Functional: PBE
Structure: relaxed

It has space group P4/mmm (No. 123), with a = 5.376 Å, b = 5.376 Å, c = 5.446 Å, α = 90.00°, β = 90.00° and γ = 90.00°. The asymmetric unit holds Rb at (0.000, 0.000, 0.000), Ti at (0.500, 0.500, 0.000), In at (0.500, 0.500, 0.500) and Au at (0.000, 0.500, 0.500).

As for the size of the total moment: 2.63 μB/f.u. Its formation energy is 0.45 eV per atom.



No. 3
Compound: SrLa2Cl
Source: Alexandria via LeMat-Bulk
Functional: PBE
Structure: relaxed

It has space group P2/m (No. 10), with a = 3.812 Å, b = 6.766 Å, c = 5.485 Å, α = 90.00°, β = 92.22° and γ = 90.00°. The asymmetric unit holds Sr at (0.000, 0.000, 0.000), La at (0.318, 0.500, 0.752) and Cl at (0.500, 0.000, 0.500).

As for the size of the total moment: 0.00 μB/f.u. The distance to the lowest polymorph of the same formula comes out at 240 meV per atom. The value obtained for the uncorrected formation energy is -0.438 eV/atom.



No. 4
Compound: KCdIn4
Source: Alexandria via LeMat-Bulk
Functional: PBE
Structure: relaxed

It has space group Pmma (No. 51), with a = 8.562 Å, b = 4.905 Å, c = 8.612 Å, α = 90.00°, β = 90.00° and γ = 90.00°. The asymmetric unit holds K at (0.250, 0.000, 0.127), Cd at (0.250, 0.000, 0.736), In at (0.000, 0.000, 0.500), In at (0.056, 0.500, 0.807) and In at (0.250, 0.500, 0.443).

As for the size of the total moment: 0.00 μB/f.u. The distance to the lowest polymorph of the same formula comes out at 21 meV per atom. Its formation energy is -0.05 eV per atom.



Number 3 is which compound?
SrLa2Cl



Please write out number 3 again, unchanged.
Compound: SrLa2Cl
Source: Alexandria via LeMat-Bulk
Functional: PBE
Structure: relaxed

It has space group P2/m (No. 10), with a = 3.812 Å, b = 6.766 Å, c = 5.485 Å, α = 90.00°, β = 92.22° and γ = 90.00°. The asymmetric unit holds Sr at (0.000, 0.000, 0.000), La at (0.318, 0.500, 0.752) and Cl at (0.500, 0.000, 0.500).

As for the size of the total moment: 0.00 μB/f.u. The distance to the lowest polymorph of the same formula comes out at 240 meV per atom. The value obtained for the uncorrected formation energy is -0.438 eV/atom.



Look up the size of the total moment of the third one.
0.00 μB/f.u.